No. 1
This record from the Alexandria database describes a relaxed Pm2Nd4Th crystal. The functional is GGA-PBE.

Energy relative to the lowest polymorph listed for this composition, eV/atom: 0.1481
VASP energy, eV/atom: -4.913

abc: 12.085 12.085 3.481
angles: 90.00 90.00 151.00
Atoms (fractional coordinates):
Pm (0.215, 0.785, 0.000)
Pm (0.785, 0.215, 0.000)
Nd (0.077, 0.923, 0.500)
Nd (0.367, 0.633, 0.000)
Nd (0.633, 0.367, 0.000)
Nd (0.923, 0.077, 0.500)
Th (0.500, 0.500, 0.500)

=====

No. 2
This record from the Alexandria database describes a relaxed Ta2BeZn crystal. The functional is GGA-PBE.

Energy relative to the lowest polymorph listed for this composition, eV/atom: 0.3068
VASP energy, eV/atom: -6.877

abc: 9.185 9.185 9.185
angles: 17.82 17.82 17.82
Atoms (fractional coordinates):
Ta (0.245, 0.245, 0.245)
Ta (0.755, 0.755, 0.755)
Be (0.500, 0.500, 0.500)
Zn (0.000, 0.000, 0.000)

=====

no.,energy relative to the elements (eV per atom)
1,0.23
2,0.30